[1]
{"formula": "K2CaGe3Au12", "functional": "PBE", "state": "relaxed", "energy_ev_per_cell": -57.65, "total_magnetization_mub_per_atom": 0.00, "lattice": [[-4.706, -2.979, -5.479], [-2.252, -6.800, 3.120], [-7.137, 1.601, 2.748]], "species": ["K", "K", "Ca", "Ge", "Ge", "Ge", "Au", "Au", "Au", "Au", "Au", "Au", "Au", "Au", "Au", "Au", "Au", "Au"], "fractional_positions": [[0.605, 0.605, 0.605], [0.395, 0.395, 0.395], [0.000, 0.000, 0.000], [0.500, 0.000, 0.000], [0.000, 0.500, 0.000], [0.000, 0.000, 0.500], [0.311, 0.311, 0.860], [0.843, 0.843, 0.349], [0.349, 0.843, 0.843], [0.860, 0.311, 0.311], [0.843, 0.349, 0.843], [0.311, 0.860, 0.311], [0.689, 0.689, 0.140], [0.157, 0.157, 0.651], [0.651, 0.157, 0.157], [0.140, 0.689, 0.689], [0.157, 0.651, 0.157], [0.689, 0.140, 0.689]]}

---

[2]
{"formula": "CaLaGeAu", "functional": "PBE", "state": "relaxed", "energy_ev_per_cell": -17.98, "total_magnetization_mub_per_atom": 0.00, "lattice": [[5.259, 0.000, 0.000], [2.630, 4.554, 0.000], [2.630, 1.518, 4.294]], "species": ["Ge", "Au", "Ca", "La"], "fractional_positions": [[0.250, 0.250, 0.250], [0.750, 0.750, 0.750], [0.500, 0.500, 0.500], [0.000, 0.000, 0.000]]}

---

[3]
{"formula": "Li4CaGe2Au", "functional": "PBE", "state": "relaxed", "energy_ev_per_cell": -24.88, "total_magnetization_mub_per_atom": 0.00, "lattice": [[4.607, 0.000, 0.000], [2.304, 3.990, 0.000], [2.304, 1.330, 7.730]], "species": ["Li", "Li", "Li", "Li", "Ca", "Ge", "Ge", "Au"], "fractional_positions": [[0.392, 0.392, 0.823], [0.864, 0.864, 0.407], [0.136, 0.136, 0.593], [0.608, 0.608, 0.177], [0.000, 0.000, 0.000], [0.742, 0.742, 0.775], [0.258, 0.258, 0.225], [0.500, 0.500, 0.500]]}

---

[4]
{"formula": "Li2CaGeAu4", "functional": "PBE", "state": "relaxed", "energy_ev_per_cell": -27.34, "total_magnetization_mub_per_atom": 0.00, "lattice": [[4.571, 0.000, 0.000], [2.286, 3.959, 0.000], [2.286, 1.320, 8.439]], "species": ["Li", "Li", "Ca", "Ge", "Au", "Au", "Au", "Au"], "fractional_positions": [[0.759, 0.759, 0.724], [0.241, 0.241, 0.276], [0.000, 0.000, 0.000], [0.500, 0.500, 0.500], [0.394, 0.394, 0.817], [0.872, 0.872, 0.384], [0.128, 0.128, 0.616], [0.606, 0.606, 0.183]]}